Below is an optimized crystal structure of Cs2NpPaSe4, with properties calculated at the PBE level.

Raw formation energy in eV/atom: -1.269
Crystal system: monoclinic

extended XYZ file:
```
8
Lattice="7.382 0.000 0.000 0.000 4.260 0.000 -2.447 0.000 8.478" Properties=species:S:1:pos:R:3 pbc="T T T"
Cs 0.000 0.000 0.000
Cs 3.691 2.130 0.000
Np -1.224 2.130 4.239
Pa 2.468 0.000 4.239
Se 0.048 0.000 5.835
Se 1.266 2.130 2.635
Se 3.670 2.130 5.843
Se 4.888 0.000 2.643
```



Below is an optimized crystal structure of MgZrTi2, with properties calculated at the PBE level.

Crystal system: trigonal
Formation energy from the elements in eV/atom: 0.15

extended XYZ file:
```
4
Lattice="1.529 0.883 9.958 -1.529 0.883 9.958 0.000 -1.766 9.958" Properties=species:S:1:pos:R:3 pbc="T T T"
Mg 0.000 0.000 0.000
Zr 0.000 0.000 4.967
Ti 0.000 0.000 17.343
Ti 0.000 0.000 22.464
```



Below is an optimized crystal structure of K2CdAu, with properties calculated at the PBE level.

Crystal system: tetragonal
Formation energy from the elements in eV/atom: -0.09

extended XYZ file:
```
4
Lattice="-2.544 2.544 4.994 2.544 -2.544 4.994 2.544 2.544 -4.994" Properties=species:S:1:pos:R:3 pbc="T T T"
K 0.000 0.000 0.000
K 0.000 2.544 2.497
Cd 0.000 0.000 4.994
Au 2.544 0.000 2.497
```



Below is an optimized crystal structure of K2AcYSe4, with properties calculated at the PBE level.

Raw formation energy in eV/atom: -1.776
Crystal system: monoclinic

extended XYZ file:
```
8
Lattice="7.632 0.000 0.000 0.000 4.400 0.000 -2.532 0.000 7.720" Properties=species:S:1:pos:R:3 pbc="T T T"
K 0.000 0.000 0.000
K 3.816 2.200 0.000
Ac -1.266 2.200 3.860
Y 2.550 0.000 3.860
Se 0.143 0.000 5.519
Se 1.394 2.200 2.260
Se 3.706 2.200 5.460
Se 4.956 0.000 2.201
```



Below is an optimized crystal structure of La2ZnAgRu, with properties calculated at the PBE level.

Relative energy among the computed polymorphs in eV per atom: 0.000
Crystal system: monoclinic
Formation energy from the elements in eV/atom: -0.31

extended XYZ file:
```
10
Lattice="7.737 0.000 0.000 0.000 4.241 0.000 -2.490 0.000 7.503" Properties=species:S:1:pos:R:3 pbc="T T T"
La 0.086 1.060 2.611
La -0.271 1.060 7.231
La 5.517 3.181 0.272
La 5.160 3.181 4.892
Zn 2.597 3.181 2.596
Zn 2.650 1.060 4.908
Ag 0.937 3.181 4.969
Ag 4.310 1.060 2.535
Ru 0.743 3.181 0.806
Ru 4.504 1.060 6.698
```



Below is an optimized crystal structure of Pm4Pr2N, with properties calculated at the PBE level.

Raw formation energy in eV/atom: -0.246
Relative energy among the computed polymorphs in eV per atom: 0.140
Crystal system: tetragonal

extended XYZ file:
```
7
Lattice="-2.488 2.488 8.981 2.488 -2.488 8.981 2.488 2.488 -8.981" Properties=species:S:1:pos:R:3 pbc="T T T"
Pm 2.488 0.000 0.000
Pm 0.000 0.000 2.392
Pm 0.000 2.488 0.000
Pm 0.000 0.000 15.569
Pr 0.000 0.000 5.909
Pr 0.000 0.000 12.052
N 0.000 0.000 0.000
```



| no. | final energy (eV per cell) | N(E_F) (states/eV/f.u.) |
| --- | --- | --- |
| 1 | -48.2 | 13.43 |
| 2 | -25.3 | 4.78 |
| 3 | -6.7 | 2.52 |
| 4 | -40.9 | 0.00 |
| 5 | -49.6 | 3.87 |
| 6 | -38.6 | 6.80 |